Arrangement one

A plane-wave DFT calculation with PBE was carried out for a relaxed KP2HS crystal.

The structure in CIF format:
```
data_KP2HS
_chemical_formula_sum 'K1 P2 H1 S1'
_space_group_name_H-M_alt 'P 4/m m m'
_space_group_IT_number 123
_space_group_name_Hall '-P 4 2'
_cell_length_a 7.153
_cell_length_b 7.153
_cell_length_c 6.098
_cell_angle_alpha 90.00
_cell_angle_beta 90.00
_cell_angle_gamma 90.00
loop_
_atom_site_label
_atom_site_fract_x
_atom_site_fract_y
_atom_site_fract_z
K1 0.000 0.000 0.000
P1 0.000 0.500 0.000
H1 0.500 0.500 0.500
S1 0.000 0.000 0.500
```

Values from the calculation:
Its volume is 62.40 A^3/atom. The total magnetization comes out at 8.0 μB per formula unit.



Arrangement two

A plane-wave DFT calculation with PBE was carried out for a relaxed KP2HS crystal.

The structure in CIF format:
```
data_KP2HS
_chemical_formula_sum 'K1 P2 H1 S1'
_space_group_name_H-M_alt 'P 4/m m m'
_space_group_IT_number 123
_space_group_name_Hall '-P 4 2'
_cell_length_a 4.098
_cell_length_b 4.098
_cell_length_c 4.972
_cell_angle_alpha 90.00
_cell_angle_beta 90.00
_cell_angle_gamma 90.00
loop_
_atom_site_label
_atom_site_fract_x
_atom_site_fract_y
_atom_site_fract_z
K1 0.000 0.000 0.000
P1 0.000 0.500 0.500
H1 0.500 0.500 0.500
S1 0.500 0.500 0.000
```

Values from the calculation:
Its volume is 16.70 A^3/atom. The total magnetization comes out at 0.0 μB per formula unit.



Which of them is most stable? Easy: arrangement two.



Arrangement one

A plane-wave DFT calculation with PBE was carried out for a relaxed KH2Pb crystal.

The structure in CIF format:
```
data_KH2Pb
_chemical_formula_sum 'K4 H8 Pb4'
_space_group_name_H-M_alt 'F m -3 m'
_space_group_IT_number 225
_space_group_name_Hall '-F 4 2 3'
_cell_length_a 6.635
_cell_length_b 6.635
_cell_length_c 6.635
_cell_angle_alpha 90.00
_cell_angle_beta 90.00
_cell_angle_gamma 90.00
loop_
_atom_site_label
_atom_site_fract_x
_atom_site_fract_y
_atom_site_fract_z
K1 0.000 0.000 0.000
H1 0.250 0.250 0.250
Pb1 0.000 0.000 0.500
```

Values from the calculation:
Its volume is 18.25 A^3/atom. The total magnetization comes out at 0.5 μB per formula unit.



Arrangement two

A plane-wave DFT calculation with PBE was carried out for a relaxed KH2Pb crystal.

The structure in CIF format:
```
data_KH2Pb
_chemical_formula_sum 'K4 H8 Pb4'
_space_group_name_H-M_alt 'I -4 2 d'
_space_group_IT_number 122
_space_group_name_Hall 'I -4 2bw'
_cell_length_a 5.340
_cell_length_b 5.340
_cell_length_c 12.414
_cell_angle_alpha 90.00
_cell_angle_beta 90.00
_cell_angle_gamma 90.00
loop_
_atom_site_label
_atom_site_fract_x
_atom_site_fract_y
_atom_site_fract_z
K1 0.000 0.000 0.000
H1 0.178 0.250 0.625
Pb1 0.000 0.000 0.500
```

Values from the calculation:
Its volume is 22.13 A^3/atom. The total magnetization comes out at 0.0 μB per formula unit.



Arrangement three

A plane-wave DFT calculation with PBE was carried out for a relaxed KH2Pb crystal.

The structure in CIF format:
```
data_KH2Pb
_chemical_formula_sum 'K4 H8 Pb4'
_space_group_name_H-M_alt 'P n m a'
_space_group_IT_number 62
_cell_length_a 7.062
_cell_length_b 6.494
_cell_length_c 7.428
_cell_angle_alpha 90.00
_cell_angle_beta 90.00
_cell_angle_gamma 90.00
loop_
_space_group_symop_operation_xyz
'x,y,z'
'-x,-y,-z'
'-x+1/2,-y,z+1/2'
'x+1/2,y,-z+1/2'
'x+1/2,-y+1/2,-z+1/2'
'-x+1/2,y+1/2,z+1/2'
'-x,y+1/2,-z'
'x,-y+1/2,z'
loop_
_atom_site_label
_atom_site_fract_x
_atom_site_fract_y
_atom_site_fract_z
K1 0.138 0.250 0.148
H1 0.137 0.035 0.839
Pb1 0.130 0.250 0.659
```

Values from the calculation:
Its volume is 21.29 A^3/atom. The total magnetization comes out at 0.0 μB per formula unit.



Which of them is most stable? Easy: arrangement three.



Arrangement one

A plane-wave DFT calculation with PBE was carried out for a relaxed K2H2Pb crystal.

The structure in CIF format:
```
data_K2H2Pb
_chemical_formula_sum 'K4 H4 Pb2'
_space_group_name_H-M_alt 'I 4/m m m'
_space_group_IT_number 139
_space_group_name_Hall '-I 4 2'
_cell_length_a 4.704
_cell_length_b 4.704
_cell_length_c 12.148
_cell_angle_alpha 90.00
_cell_angle_beta 90.00
_cell_angle_gamma 90.00
loop_
_atom_site_label
_atom_site_fract_x
_atom_site_fract_y
_atom_site_fract_z
K1 0.000 0.000 0.164
H1 0.000 0.500 0.250
Pb1 0.000 0.000 0.500
```

Values from the calculation:
Its volume is 26.88 A^3/atom. The total magnetization comes out at 0.0 μB per formula unit.



Arrangement two

A plane-wave DFT calculation with PBE was carried out for a relaxed K2H2Pb crystal.

The structure in CIF format:
```
data_K2H2Pb
_chemical_formula_sum 'K4 H4 Pb2'
_space_group_name_H-M_alt 'P 4/m b m'
_space_group_IT_number 127
_space_group_name_Hall '-P 4 2ab'
_cell_length_a 7.787
_cell_length_b 7.787
_cell_length_c 3.794
_cell_angle_alpha 90.00
_cell_angle_beta 90.00
_cell_angle_gamma 90.00
loop_
_atom_site_label
_atom_site_fract_x
_atom_site_fract_y
_atom_site_fract_z
K1 0.148 0.352 0.000
H1 0.168 0.668 0.500
Pb1 0.000 0.000 0.500
```

Values from the calculation:
Its volume is 23.01 A^3/atom. The total magnetization comes out at 0.0 μB per formula unit.



Which of them is most stable? Easy: arrangement two.



Arrangement one

A plane-wave DFT calculation with PBE was carried out for a relaxed KHPb3 crystal.

The structure in CIF format:
```
data_KHPb3
_chemical_formula_sum 'K1 H1 Pb3'
_space_group_name_H-M_alt 'P m -3 m'
_space_group_IT_number 221
_space_group_name_Hall '-P 4 2 3'
_cell_length_a 6.142
_cell_length_b 6.142
_cell_length_c 6.142
_cell_angle_alpha 90.00
_cell_angle_beta 90.00
_cell_angle_gamma 90.00
loop_
_atom_site_label
_atom_site_fract_x
_atom_site_fract_y
_atom_site_fract_z
K1 0.000 0.000 0.000
H1 0.500 0.500 0.500
Pb1 0.000 0.000 0.500
```

Values from the calculation:
Its volume is 46.33 A^3/atom. The total magnetization comes out at 0.8 μB per formula unit.



Arrangement two

A plane-wave DFT calculation with PBE was carried out for a relaxed KHPb3 crystal.

The structure in CIF format:
```
data_KHPb3
_chemical_formula_sum 'K1 H1 Pb3'
_space_group_name_H-M_alt 'P m -3 m'
_space_group_IT_number 221
_space_group_name_Hall '-P 4 2 3'
_cell_length_a 5.131
_cell_length_b 5.131
_cell_length_c 5.131
_cell_angle_alpha 90.00
_cell_angle_beta 90.00
_cell_angle_gamma 90.00
loop_
_atom_site_label
_atom_site_fract_x
_atom_site_fract_y
_atom_site_fract_z
K1 0.000 0.000 0.000
H1 0.500 0.500 0.500
Pb1 0.000 0.500 0.500
```

Values from the calculation:
Its volume is 27.01 A^3/atom. The total magnetization comes out at 0.0 μB per formula unit.



Which of them is most stable? Easy: arrangement two.



Arrangement one

A plane-wave DFT calculation with PBE was carried out for a relaxed KHPb crystal.

The structure in CIF format:
```
data_KHPb
_chemical_formula_sum 'K4 H4 Pb4'
_space_group_name_H-M_alt 'C 1 2/m 1'
_space_group_IT_number 12
_cell_length_a 5.642
_cell_length_b 5.642
_cell_length_c 9.784
_cell_angle_alpha 90.00
_cell_angle_beta 90.00
_cell_angle_gamma 90.00
loop_
_space_group_symop_operation_xyz
'x,y,z'
'-x,-y,-z'
'-x,y,-z'
'x,-y,z'
'x+1/2,y+1/2,z'
'-x+1/2,-y+1/2,-z'
'-x+1/2,y+1/2,-z'
'x+1/2,-y+1/2,z'
loop_
_atom_site_label
_atom_site_fract_x
_atom_site_fract_y
_atom_site_fract_z
K1 0.249 0.000 0.352
H1 0.249 0.500 0.360
Pb1 0.250 0.000 0.915
```

Values from the calculation:
Its volume is 25.95 A^3/atom. The total magnetization comes out at 0.0 μB per formula unit.



Arrangement two

A plane-wave DFT calculation with PBE was carried out for a relaxed KHPb crystal.

The structure in CIF format:
```
data_KHPb
_chemical_formula_sum 'K4 H4 Pb4'
_space_group_name_H-M_alt 'C 1 2/m 1'
_space_group_IT_number 12
_cell_length_a 12.857
_cell_length_b 5.489
_cell_length_c 5.085
_cell_angle_alpha 90.00
_cell_angle_beta 102.94
_cell_angle_gamma 90.00
loop_
_space_group_symop_operation_xyz
'x,y,z'
'-x,-y,-z'
'-x,y,-z'
'x,-y,z'
'x+1/2,y+1/2,z'
'-x+1/2,-y+1/2,-z'
'-x+1/2,y+1/2,-z'
'x+1/2,-y+1/2,z'
loop_
_atom_site_label
_atom_site_fract_x
_atom_site_fract_y
_atom_site_fract_z
K1 0.151 0.000 0.339
H1 0.195 0.500 0.166
Pb1 0.080 0.500 0.832
```

Values from the calculation:
Its volume is 29.15 A^3/atom. The total magnetization comes out at 0.0 μB per formula unit.



Which of them is most stable? Easy: arrangement one.